## Dy3B4Ru4 (PBE)

Data for a relaxed structure of Dy3B4Ru4.

Results
The calculation puts the mass density at 9.52 g cm⁻³. The space group is P-1. For the total energy, the calculation gives -7.49 eV/atom. The calculation puts the spin magnetization at 0.00 μB per atom. For the formation energy, the calculation gives -0.435 eV per atom.

Lattice parameters (Å, degrees): 4.303 3.395 11.710 81.66 74.56 89.93
Fractional positions:
Dy  0.206  0.648  0.704
Dy  0.794  0.352  0.296
Dy  0.000  0.000  0.000
B  0.647  0.112  0.773
B  0.346  0.242  0.515
B  0.654  0.758  0.485
B  0.353  0.888  0.227
Ru  0.581  0.559  0.880
Ru  0.419  0.441  0.120
Ru  0.209  0.790  0.419
Ru  0.791  0.210  0.581

=====

## Np2InRh5Au (PBE)

Data for a relaxed structure of Np2InRh5Au.

Results
The calculation puts the mass density at 13.29 g cm⁻³. The space group is I4/mcm. For the total energy, the calculation gives -7.70 eV/atom. The calculation puts the spin magnetization at 0.00 μB per atom. For the formation energy, the calculation gives -0.075 eV per atom.

Lattice parameters (Å, degrees): 7.090 7.090 8.179 115.69 115.69 90.00
Fractional positions:
Np  0.117  0.383  0.000
Np  0.617  0.117  0.000
Np  0.383  0.883  0.000
Np  0.883  0.617  0.000
In  0.250  0.250  0.500
In  0.750  0.750  0.500
Rh  0.911  0.411  0.284
Rh  0.627  0.127  0.716
Rh  0.089  0.589  0.716
Rh  0.127  0.089  0.716
Rh  0.589  0.627  0.716
Rh  0.873  0.911  0.284
Rh  0.411  0.373  0.284
Rh  0.373  0.873  0.284
Rh  0.500  0.500  0.000
Rh  0.000  0.000  0.000
Au  0.250  0.750  0.500
Au  0.750  0.250  0.500

=====

## AlTlSn3 (PBE)

Data for a relaxed structure of AlTlSn3.

Results
The calculation puts the mass density at 6.28 g cm⁻³. The calculation puts the energy relative to the lowest polymorph listed for this composition at 0.0000 eV/atom. The space group is Pm-3m. For the total energy, the calculation gives -3.30 eV/atom. The calculation puts the spin magnetization at 0.00 μB per atom. For the formation energy, the calculation gives 0.322 eV per atom.

Lattice parameters (Å, degrees): 5.377 5.377 5.377 90.00 90.00 90.00
Fractional positions:
Tl  0.500  0.500  0.500
Sn  0.000  0.500  0.000
Sn  0.000  0.000  0.500
Sn  0.500  0.000  0.000
Al  0.000  0.000  0.000